VASP calculation (PBE with a Hubbard U) on a relaxed structure of CoCuI2O.

Structure (POSCAR):
```
CoCuI2O
1.0
5.626 0.000 0.000
0.000 5.626 0.000
0.000 0.000 3.558
Co I Cu O
1 2 1 1
direct
0.000 0.000 0.000
0.000 0.500 0.000
0.500 0.000 0.000
0.500 0.500 0.500
0.000 0.000 0.500
```

Properties
**SG**: No. 123
**Total magnetization**: 0.67 μB per atom
**Density**: 5.79 g cm⁻³
**Calculated total energy**: -3.354 eV per atom